Record 1
{"formula": "SmY2Cu", "functional": "GGA-PBE", "state": "relaxed", "lattice": [[3.7082, 0.0000, 0.0000], [1.8541, 3.2114, 0.0000], [1.8541, 1.0705, 9.6830]], "species": ["Cu", "Y", "Y", "Sm"], "fractional_positions": [[0.6659, 0.6659, 0.0023], [0.0656, 0.0656, 0.8033], [0.2675, 0.2675, 0.1975], [0.5010, 0.5010, 0.4969]], "rho_g_cm3": 5.64, "ef_ev_per_atom": 0.0243, "magnetic_moment_mub_per_cell": 0.0, "vol_a3_per_cell": 115.3, "crystal_system": "trigonal", "sg": "No. 160"}

---

Record 2
{"formula": "Co2AgAu", "functional": "GGA-PBE", "state": "relaxed", "lattice": [[-3.1874, -0.3320, -3.5079], [0.8131, -3.9481, -2.5153], [-0.4897, 0.7395, 4.6678]], "species": ["Ag", "Co", "Co", "Au"], "fractional_positions": [[0.2500, 0.7500, 0.5000], [0.0000, 0.0000, 0.0000], [0.5000, 0.5000, 0.0000], [0.7500, 0.2500, 0.5000]], "rho_g_cm3": 12.03, "ef_ev_per_atom": 0.3670, "magnetic_moment_mub_per_cell": 3.6, "vol_a3_per_cell": 58.3, "crystal_system": "tetragonal", "sg": "No. 139"}

---

Record 3
{"formula": "CuRuBr", "functional": "GGA-PBE", "state": "relaxed", "lattice": [[-0.1804, -2.9260, 2.0027], [1.1167, -0.2168, -3.3632], [4.7794, 0.7580, 1.5380]], "species": ["Ru", "Br", "Cu"], "fractional_positions": [[0.3333, 0.6667, 0.6736], [0.0000, 0.0000, 0.9367], [0.6667, 0.3333, 0.3896]], "e_form_raw_ev_per_fu": 1.99, "rho_g_cm3": 7.33, "magnetic_moment_mub_per_cell": 0.0, "vol_a3_per_cell": 55.4, "crystal_system": "trigonal", "sg": "No. 156"}

---

Record 4
{"formula": "SrCr2Si", "functional": "GGA-PBE", "state": "relaxed", "lattice": [[5.4627, -0.0252, -0.0857], [-2.6658, 5.0706, 0.1468], [0.1311, 0.8630, 2.9316]], "species": ["Cr", "Cr", "Si", "Sr"], "fractional_positions": [[0.5000, 0.0000, 0.5000], [0.0000, 0.0000, 0.0000], [0.0000, 0.5000, 0.5000], [0.5000, 0.5000, 0.0000]], "e_form_raw_ev_per_fu": 3.58, "rho_g_cm3": 4.53, "magnetic_moment_mub_per_cell": 7.1, "vol_a3_per_cell": 80.6, "crystal_system": "monoclinic", "sg": "No. 12"}

---

Please write out number 4 again, unchanged.
{"formula": "SrCr2Si", "functional": "GGA-PBE", "state": "relaxed", "lattice": [[5.4627, -0.0252, -0.0857], [-2.6658, 5.0706, 0.1468], [0.1311, 0.8630, 2.9316]], "species": ["Cr", "Cr", "Si", "Sr"], "fractional_positions": [[0.5000, 0.0000, 0.5000], [0.0000, 0.0000, 0.0000], [0.0000, 0.5000, 0.5000], [0.5000, 0.5000, 0.0000]], "e_form_raw_ev_per_fu": 3.58, "rho_g_cm3": 4.53, "magnetic_moment_mub_per_cell": 7.1, "vol_a3_per_cell": 80.6, "crystal_system": "monoclinic", "sg": "No. 12"}